[1]
A plane-wave DFT calculation with PBE-GGA was carried out for La2NdBr2N2 after structural relaxation.

a b c (Å): 4.686 4.686 8.764
angles (deg): 105.51 105.51 90.00
Last column: magnetic moment on the atom in μB.
Positions (direct):
La (0.406, 0.406, 0.813)  0.34
La (0.594, 0.594, 0.187)  0.34
Nd (0.000, 0.000, 0.000)  0.01
Br (0.186, 0.186, 0.372)  0.01
Br (0.814, 0.814, 0.628)  0.01
N (0.000, 0.500, 0.000)  -0.03
N (0.500, 0.000, 0.000)  -0.03

## Properties
Fermi-level density of states ... 2.01 states/eV per cell
Formation energy from raw total energies ... -1.297 eV per atom
Electronic total energy ... -43.70 eV per formula unit

***

[2]
A plane-wave DFT calculation with PBE-GGA was carried out for Tb8Nd2Sc3 after structural relaxation.

a b c (Å): 5.939 8.690 8.690
angles (deg): 80.99 72.11 72.11
Positions (direct):
Tb (0.225, 0.585, 0.585)
Tb (0.775, 0.415, 0.415)
Tb (0.889, 0.136, 0.136)
Tb (0.111, 0.864, 0.864)
Tb (0.648, 0.612, 0.079)
Tb (0.648, 0.079, 0.612)
Tb (0.352, 0.921, 0.388)
Tb (0.352, 0.388, 0.921)
Nd (0.341, 0.319, 0.319)
Nd (0.659, 0.681, 0.681)
Sc (0.500, 0.000, 0.000)
Sc (0.000, 0.262, 0.738)
Sc (0.000, 0.738, 0.262)

## Properties
Energy relative to the lowest polymorph listed for this composition ... 0.0 meV per atom
Fermi-level density of states ... 18.74 states/eV per cell
Electronic total energy ... -63.15 eV per formula unit
Energy of formation from the pure elements ... 0.186 eV per atom

***

[3]
A plane-wave DFT calculation with PBE-GGA was carried out for Er2ThGa6 after structural relaxation.

a b c (Å): 4.126 7.325 7.325
angles (deg): 120.00 90.00 90.00
Positions (direct):
Er (0.000, 0.333, 0.667)
Er (0.000, 0.667, 0.333)
Th (0.000, 0.000, 0.000)
Ga (0.500, 0.335, 0.335)
Ga (0.500, 0.665, 0.665)
Ga (0.500, 0.000, 0.665)
Ga (0.500, 0.665, 0.000)
Ga (0.500, 0.335, 0.000)
Ga (0.500, 0.000, 0.335)

## Properties
Energy relative to the lowest polymorph listed for this composition ... 0.0 meV per atom
Fermi-level density of states ... 5.44 states/eV per cell
Electronic total energy ... -40.19 eV per formula unit
Energy of formation from the pure elements ... -0.609 eV per atom

***

[4]
A plane-wave DFT calculation with PBE-GGA was carried out for ScBe9Nb2 after structural relaxation.

a b c (Å): 4.617 4.617 14.328
angles (deg): 90.00 90.00 120.00
Positions (direct):
Sc (0.333, 0.667, 0.750)
Sc (0.667, 0.333, 0.250)
Be (0.000, 0.000, 0.000)
Be (0.000, 0.000, 0.500)
Be (0.000, 0.000, 0.250)
Be (0.000, 0.000, 0.750)
Be (0.333, 0.667, 0.250)
Be (0.667, 0.333, 0.750)
Be (0.169, 0.339, 0.126)
Be (0.661, 0.831, 0.126)
Be (0.169, 0.831, 0.126)
Be (0.831, 0.661, 0.626)
Be (0.339, 0.169, 0.626)
Be (0.831, 0.169, 0.626)
Be (0.339, 0.169, 0.874)
Be (0.831, 0.661, 0.874)
Be (0.831, 0.169, 0.874)
Be (0.661, 0.831, 0.374)
Be (0.169, 0.339, 0.374)
Be (0.169, 0.831, 0.374)
Nb (0.333, 0.667, 0.535)
Nb (0.667, 0.333, 0.035)
Nb (0.667, 0.333, 0.465)
Nb (0.333, 0.667, 0.965)

## Properties
Fermi-level density of states ... 12.18 states/eV per cell
Electronic total energy ... -62.55 eV per formula unit
Energy of formation from the pure elements ... -0.212 eV per atom

***

[5]
A plane-wave DFT calculation with PBE-GGA was carried out for YTmV4 after structural relaxation.

a b c (Å): 5.440 5.440 5.440
angles (deg): 60.00 60.00 60.00
Last column: magnetic moment on the atom in μB.
Positions (direct):
Y (0.000, 0.000, 0.000)  0.30
Tm (0.250, 0.250, 0.250)  0.44
V (0.624, 0.624, 0.128)  0.83
V (0.624, 0.128, 0.624)  0.83
V (0.624, 0.624, 0.624)  0.83
V (0.128, 0.624, 0.624)  0.83

## Properties
Fermi-level density of states ... 12.54 states/eV per cell
Electronic total energy ... -45.27 eV per formula unit
Energy of formation from the pure elements ... 0.357 eV per atom

***

[6]
A plane-wave DFT calculation with PBE-GGA was carried out for La2TlW after structural relaxation.

a b c (Å): 3.643 3.222 9.956
angles (deg): 71.54 90.00 90.00
Positions (direct):
La (0.000, 0.031, 0.961)
La (0.000, 0.469, 0.539)
Tl (0.500, 0.250, 0.250)
W (0.500, 0.750, 0.750)

## Properties
Energy relative to the lowest polymorph listed for this composition ... 0.0 meV per atom
Fermi-level density of states ... 3.62 states/eV per cell
Electronic total energy ... -24.04 eV per formula unit
Energy of formation from the pure elements ... 0.283 eV per atom

***

[7]
A plane-wave DFT calculation with PBE-GGA was carried out for BaBeI2 after structural relaxation.

a b c (Å): 6.073 6.073 11.163
angles (deg): 74.21 74.21 90.00
Positions (direct):
I (0.608, 0.125, 0.250)
I (0.142, 0.625, 0.250)
I (0.375, 0.392, 0.750)
I (0.875, 0.858, 0.750)
Be (0.500, 0.500, 0.000)
Be (0.250, 0.750, 0.500)
Ba (0.000, 0.000, 0.000)
Ba (0.750, 0.250, 0.500)

## Properties
Energy relative to the lowest polymorph listed for this composition ... 189.2 meV per atom
Fermi-level density of states ... 0.00 states/eV per cell
Formation energy from raw total energies ... -0.280 eV per atom
Electronic total energy ... -9.87 eV per formula unit

***

[8]
A plane-wave DFT calculation with PBE-GGA was carried out for UZnTc after structural relaxation.

a b c (Å): 2.980 2.980 6.897
angles (deg): 90.00 90.00 120.00
Last column: magnetic moment on the atom in μB.
Positions (direct):
Zn (0.000, 0.000, 0.973)  0.00
U (0.667, 0.333, 0.356)  0.27
Tc (0.333, 0.667, 0.671)  -0.03

## Properties
Energy relative to the lowest polymorph listed for this composition ... 316.2 meV per atom
Fermi-level density of states ... 3.67 states/eV per cell
Electronic total energy ... -22.26 eV per formula unit
Energy of formation from the pure elements ... 0.222 eV per atom

***

[9]
A plane-wave DFT calculation with PBE-GGA was carried out for Ca2MgCu9 after structural relaxation.

a b c (Å): 5.081 5.081 16.833
angles (deg): 90.00 90.00 120.00
Positions (direct):
Ca (0.333, 0.667, 0.543)
Ca (0.667, 0.333, 0.043)
Ca (0.667, 0.333, 0.457)
Ca (0.333, 0.667, 0.957)
Mg (0.333, 0.667, 0.750)
Mg (0.667, 0.333, 0.250)
Cu (0.000, 0.000, 0.000)
Cu (0.000, 0.000, 0.500)
Cu (0.000, 0.000, 0.250)
Cu (0.000, 0.000, 0.750)
Cu (0.333, 0.667, 0.250)
Cu (0.667, 0.333, 0.750)
Cu (0.167, 0.334, 0.129)
Cu (0.666, 0.833, 0.129)
Cu (0.167, 0.833, 0.129)
Cu (0.833, 0.666, 0.629)
Cu (0.334, 0.167, 0.629)
Cu (0.833, 0.167, 0.629)
Cu (0.334, 0.167, 0.871)
Cu (0.833, 0.666, 0.871)
Cu (0.833, 0.167, 0.871)
Cu (0.666, 0.833, 0.371)
Cu (0.167, 0.334, 0.371)
Cu (0.167, 0.833, 0.371)

## Properties
Energy relative to the lowest polymorph listed for this composition ... 0.0 meV per atom
Fermi-level density of states ... 11.07 states/eV per cell
Electronic total energy ... -43.37 eV per formula unit
Energy of formation from the pure elements ... -0.076 eV per atom

***

[10]
A plane-wave DFT calculation with PBE-GGA was carried out for Y3PuTl4 after structural relaxation.

a b c (Å): 3.573 3.573 17.222
angles (deg): 90.00 90.00 90.00
Last column: magnetic moment on the atom in μB.
Positions (direct):
Y (0.500, 0.500, 0.253)  -0.17
Y (0.500, 0.500, 0.500)  0.14
Y (0.500, 0.500, 0.747)  -0.17
Tl (0.000, 0.000, 0.871)  -0.02
Tl (0.000, 0.000, 0.129)  -0.02
Tl (0.000, 0.000, 0.377)  0.00
Tl (0.000, 0.000, 0.623)  0.00
Pu (0.500, 0.500, 0.000)  5.54

## Properties
Fermi-level density of states ... 11.47 states/eV per cell
Electronic total energy ... -45.39 eV per formula unit
Energy of formation from the pure elements ... -0.276 eV per atom

***

[11]
A plane-wave DFT calculation with PBE-GGA was carried out for Ba2Bi4Pd5 after structural relaxation.

a b c (Å): 6.440 6.522 8.839
angles (deg): 79.64 68.64 60.42
Positions (direct):
Ba (0.862, 0.000, 0.277)
Ba (0.138, 0.000, 0.723)
Bi (0.465, 0.321, 0.749)
Bi (0.535, 0.679, 0.251)
Bi (0.214, 0.321, 0.251)
Bi (0.786, 0.679, 0.749)
Pd (0.500, 0.000, 0.000)
Pd (0.000, 0.500, 0.000)
Pd (0.500, 0.500, 0.000)
Pd (0.250, 0.500, 0.500)
Pd (0.750, 0.500, 0.500)

## Properties
Fermi-level density of states ... 4.01 states/eV per cell
Electronic total energy ... -50.70 eV per formula unit
Energy of formation from the pure elements ... -0.488 eV per atom

***

The highest electronic total energy belongs to which entry?
BaBeI2

***

Look up the electronic total energy of the seventh one.
-9.87 eV per formula unit